SrHgP3 | GGA-PBE | optimized geometry

Geometry as POSCAR:
```
SrHgP3
1.0
5.547 0.000 0.000
0.000 5.547 0.000
0.000 0.000 5.547
Sr Hg P
1 1 3
Direct
0.000 0.000 0.000
0.500 0.500 0.500
0.000 0.000 0.500
0.000 0.500 0.000
0.500 0.000 0.000
```

## Properties
Uncorrected energy ... -2.384 eV per atom
Space group ... Pm-3m, No. 221
V ... 170.6 Å³/f.u.
E above lowest polymorph ... 3.94 eV per formula unit
Energy of formation ... 1.259 eV/atom

SiNiIr2 | GGA-PBE | optimized geometry

Geometry as POSCAR:
```
SiNiIr2
1.0
4.294 -1.378 0.000
4.294 1.378 0.000
-1.221 0.000 4.503
Si Ni Ir
1 1 2
Direct
0.000 0.000 0.000
0.500 0.500 0.500
0.269 0.269 0.757
0.731 0.731 0.243
```

## Properties
Uncorrected energy ... -7.490 eV per atom
Space group ... C2/m, No. 12
V ... 53.3 Å³/f.u.

IrRhAuI | GGA-PBE | optimized geometry

Geometry as POSCAR:
```
IrRhAuI
1.0
3.935 0.000 0.000
0.000 2.626 3.974
0.000 -2.626 3.974
Ir Rh Au I
1 1 1 1
Direct
0.000 0.000 0.000
0.500 0.200 0.200
0.000 0.444 0.444
0.500 0.771 0.771
```

## Properties
Uncorrected energy ... -4.729 eV per atom
Space group ... Amm2, No. 38
V ... 82.1 Å³/f.u.
E above lowest polymorph ... 0.21 eV per formula unit

> V of number 3 (IrRhAuI)?

82.1 Å³/f.u.

> What is the formula in the first record?

SrHgP3